Here is crystalline Ho3Ge3Ru2 at its relaxed geometry from the Alexandria database. Energies are from PBE-GGA.

The value obtained for the formation energy is -0.78 eV/atom. As for the density of states at the Fermi level: 13.212 states/eV per cell. For the calculated volume, the calculation gives 20.0 Å³/atom. The value obtained for the total energy is -6.550 eV/atom. The calculation puts the total magnetization at 0.00 Bohr magnetons per cell. The calculation puts the energy relative to the lowest polymorph listed for this composition at 0.000 eV per atom. As for the crystal system: orthorhombic.

It has space group Cmcm (No. 63), with a = 4.263 Å, b = 10.807 Å, c = 13.913 Å, α = 90.00°, β = 90.00° and γ = 90.00°. Symmetry generates all atoms from Ho at (0.000, 0.078, 0.113), Ho at (0.000, 0.353, 0.250), Ge at (0.000, 0.336, 0.750), Ge at (0.000, 0.384, 0.041) and Ru at (0.000, 0.213, 0.583).